The following is a DFT calculation (GGA-PBE) of a geometry-optimized Y2CuMo2 structure.

```
10
Lattice="6.913 0.000 0.000 0.000 6.913 0.000 0.000 0.000 4.466" Properties=species:S:1:pos:R:3 pbc="T T T"
Y 2.211 1.245 2.233
Mo 2.629 6.086 0.000
Mo 6.086 4.284 0.000
Y 5.668 2.211 2.233
Mo 0.827 2.629 0.000
Cu 3.457 3.457 0.000
Y 1.245 4.702 2.233
Y 4.702 5.668 2.233
Cu 0.000 0.000 0.000
Mo 4.284 0.827 0.000
```

Summary:
**ΔH_f (0 K)**: 327 meV/atom